This record from Alexandria describes crystalline ScHg2Rh at its relaxed geometry. The functional is GGA-PBE.

The formation energy is -5.809 kcal/mol of atoms. The calculation puts the density of states at the Fermi level at 3.4 states/eV/f.u.

The space group is P4/mmm (No. 123) and the conventional cell measures 4.107, 4.107 and 4.548 Å, with angles of 90.00, 90.00 and 90.00 degrees. The distinct sites, in fractional coordinates, are Sc at (0.000, 0.000, 0.000), Hg at (0.000, 0.500, 0.500) and Rh at (0.500, 0.500, 0.000).